Computed, not measured: a relaxed structure of ZrC5 at the PBE level of DFT.

Properties
Offset from the most stable computed form   13.63 eV per formula unit
Total magnetization   0.00 μB/cell
Mass density   4.593 g/cm3
VASP energy   -6.253 eV/atom

a b c (Å): 3.9918 3.9918 3.9629
angles (deg): 90.00 90.00 120.00
With the nearest neighbours (Å) after each atom.
Space group P6/mmm (No. 191)
Unique sites:
Zr: 0.0000 0.0000 0.0000 x1  6 C 2.30
C: 0.0000 0.5000 0.5000 x3  4 C 2.00
C: 0.3333 0.6667 0.0000 x2  9 C 2.29-2.30, 3 Zr 2.30

=====

Computed, not measured: a relaxed structure of ZrC2 at the PBE level of DFT.

Properties
Total magnetization   0.00 μB/cell
Mass density   5.791 g/cm3
VASP energy   -7.773 eV/atom

a b c (Å): 4.0572 4.0572 4.6361
angles (deg): 90.00 90.00 120.00
With the nearest neighbours (Å) after each atom.
Space group P6_3/mmc (No. 194)
Unique sites:
Zr: 0.3333 0.6667 0.2500 x2  5 C 2.32-2.34
C: 0.0000 0.0000 0.0000 x2  2 C 2.32
C: 0.3333 0.6667 0.7500 x2  5 Zr 2.32-2.34

=====

Computed, not measured: a relaxed structure of ZrC2 at the PBE level of DFT.

Properties
Total magnetization   0.00 μB/cell
Mass density   5.878 g/cm3
VASP energy   -8.833 eV/atom

a b c (Å): 4.1695 5.1007 3.0619
angles (deg): 90.00 90.00 90.00
With the nearest neighbours (Å) after each atom.
Space group Cmmm (No. 65)
Unique sites:
Zr: 0.0000 0.0000 0.0000 x2  12 C 2.42-2.67
C: 0.0000 0.3683 0.5000 x4  1 C 1.34

=====

Computed, not measured: a relaxed structure of Zr7C6 at the PBE level of DFT.

Properties
Total magnetization   0.00 μB/cell
Mass density   5.072 g/cm3
VASP energy   -8.087 eV/atom

a b c (Å): 5.8561 5.8561 23.5015
angles (deg): 90.00 90.00 120.00
With the nearest neighbours (Å) after each atom.
Space group R-3m (No. 166, hexagonal axes)
Unique sites:
Zr: 0.0000 0.0000 0.0000 x3  6 Zr 2.90
Zr: 0.0033 0.5017 0.4331 x18  3 C 2.30-2.54
C: 0.0000 0.0000 0.1665 x6  6 Zr 2.30-2.32
C: 0.0000 0.0000 0.3150 x6  1 C 1.33
C: 0.0000 0.0000 0.3716 x6  1 C 1.33

=====

Computed, not measured: a relaxed structure of ZrC2 at the PBE level of DFT.

Properties
Total magnetization   0.00 μB/cell
Mass density   4.851 g/cm3
VASP energy   -8.786 eV/atom

a b c (Å): 3.3194 3.3194 4.1342
angles (deg): 90.00 90.00 120.00
With the nearest neighbours (Å) after each atom.
Space group P-6m2 (No. 187)
Unique sites:
Zr: 0.0000 0.0000 0.0000 x1  6 C 2.38
C: 0.6667 0.3333 0.3420 x2  1 C 1.31

=====

Computed, not measured: a relaxed structure of Zr5C at the PBE level of DFT.

Properties
Offset from the most stable computed form   2.08 eV per formula unit
Total magnetization   0.00 μB/cell
Mass density   5.974 g/cm3
VASP energy   -8.374 eV/atom

a b c (Å): 5.6161 3.1010 14.9424
angles (deg): 90.00 90.00 90.00
With the nearest neighbours (Å) after each atom.
Space group Amm2 (No. 38)
Unique sites:
Zr: 0.0000 0.0000 0.0000 x2  2 C 2.25
Zr: 0.0000 0.0000 0.2186 x2  2 C 2.25
Zr: 0.5000 0.0000 0.1100 x2  10 Zr 2.98-3.25, 4 C 3.21
Zr: 0.5000 0.0000 0.4393 x2  6 Zr 2.83-3.10
Zr: 0.5000 0.0000 0.7808 x2  6 Zr 2.83-3.10
C: 0.0000 0.0000 0.6093 x2  4 Zr 2.25

=====

Computed, not measured: a relaxed structure of Zr3C4 at the PBE level of DFT.

Properties
Offset from the most stable computed form   0.00 eV per formula unit
Total magnetization   0.00 μB/cell
Mass density   5.948 g/cm3
VASP energy   -9.253 eV/atom

a b c (Å): 3.3318 3.3318 16.1801
angles (deg): 90.00 90.00 90.00
With the nearest neighbours (Å) after each atom.
Space group I4/mmm (No. 139)
Unique sites:
Zr: 0.0000 0.0000 0.0000 x2  8 C 2.45
Zr: 0.0000 0.0000 0.3221 x4  6 C 2.21-2.38
C: 0.0000 0.0000 0.1749 x4  5 Zr 2.36-2.38
C: 0.0000 0.0000 0.4589 x4  1 C 1.33

=====

Computed, not measured: a relaxed structure of ZrC2 at the PBE level of DFT.

Properties
Total magnetization   0.00 μB/cell
Mass density   5.957 g/cm3
VASP energy   -7.079 eV/atom

a b c (Å): 6.3579 6.3579 6.3579
angles (deg): 90.00 90.00 90.00
With the nearest neighbours (Å) after each atom.
Space group Fd-3m (No. 227, origin choice 2)
Unique sites:
Zr: 0.1250 0.1250 0.1250 x8  12 C 2.64, 4 Zr 2.75
C: 0.0000 0.0000 0.5000 x16  6 C 2.25

=====

Computed, not measured: a relaxed structure of ZrC2 at the PBE level of DFT.

Properties
Total magnetization   0.00 μB/cell
Mass density   5.780 g/cm3
VASP energy   -8.301 eV/atom

a b c (Å): 3.5852 3.5852 11.8969
angles (deg): 90.00 90.00 120.00
With the nearest neighbours (Å) after each atom.
Space group P6_3/mmc (No. 194)
Unique sites:
Zr: 0.3333 0.6667 0.1102 x4  9 C 2.45
C: 0.0000 0.0000 0.0000 x2  6 Zr 2.45
C: 0.1398 0.2797 0.7500 x6  2 C 1.50

=====

Computed, not measured: a relaxed structure of Zr5C at the PBE level of DFT.

Properties
Offset from the most stable computed form   10.09 eV per formula unit
Total magnetization   0.00 μB/cell
Mass density   5.451 g/cm3
VASP energy   -7.040 eV/atom

a b c (Å): 5.5749 5.5749 5.2986
angles (deg): 90.00 90.00 120.00
With the nearest neighbours (Å) after each atom.
Space group P6/mmm (No. 191)
Unique sites:
Zr: 0.0000 0.5000 0.0000 x3  8 Zr 2.79-3.10
Zr: 0.3333 0.6667 0.5000 x2  9 Zr 3.10-3.22, 3 C 3.22
C: 0.0000 0.0000 0.5000 x1  6 Zr 3.22

=====

Computed, not measured: a relaxed structure of Zr2C at the PBE level of DFT.

Properties
Total magnetization   0.00 μB/cell
Mass density   6.174 g/cm3
VASP energy   -8.879 eV/atom

a b c (Å): 3.2952 3.2952 16.6850
angles (deg): 90.00 90.00 120.00
With the nearest neighbours (Å) after each atom.
Space group R3m (No. 160, hexagonal axes)
Unique sites:
Zr: 0.0000 0.0000 0.0000 x3  3 C 2.37
Zr: 0.0000 0.0000 0.1681 x3  3 C 2.36
C: 0.0000 0.0000 0.4181 x3  6 Zr 2.36-2.37

=====

Computed, not measured: a relaxed structure of Zr3C2 at the PBE level of DFT.

Properties
Offset from the most stable computed form   0.05 eV per formula unit
Total magnetization   0.00 μB/cell
Mass density   6.248 g/cm3
VASP energy   -9.508 eV/atom

a b c (Å): 3.3538 3.3538 24.3677
angles (deg): 90.00 90.00 120.00
With the nearest neighbours (Å) after each atom.
Space group R-3m (No. 166, hexagonal axes)
Unique sites:
Zr: 0.0000 0.0000 0.0000 x3  6 C 2.40
Zr: 0.0000 0.0000 0.2264 x6  3 C 2.27
C: 0.0000 0.0000 0.3914 x6  6 Zr 2.27-2.40